Na2HgBiBr6: relaxed, GGA-PBE.

Output
As for the space group: P1, No. 1. The raw formation energy is -924 meV per atom.

Cell: 7.536 7.538 8.180 Å, 62.54 62.51 59.99°
Fractional positions:
Na 0.518 0.518 0.445
Na 0.008 0.008 0.976
Hg 0.817 0.817 0.549
Bi 0.326 0.325 0.023
Br 0.588 0.224 0.248
Br 0.224 0.940 0.248
Br 0.940 0.588 0.247
Br 0.408 0.715 0.760
Br 0.716 0.117 0.759
Br 0.117 0.408 0.759

Rb3Dy2InS6: relaxed, GGA-PBE.

Output
As for the space group: C2/m, No. 12. The raw formation energy is -1500 meV per atom.

Cell: 7.005 7.005 8.042 Å, 98.35 98.35 120.00°
Fractional positions:
Rb 0.167 0.833 0.500
Rb 0.833 0.167 0.500
Rb 0.500 0.500 0.500
Dy 0.333 0.667 0.000
Dy 0.667 0.333 0.000
In 0.000 0.000 0.000
S 0.936 0.609 0.809
S 0.736 0.736 0.191
S 0.064 0.391 0.191
S 0.609 0.936 0.809
S 0.264 0.264 0.809
S 0.391 0.064 0.191

TiAg2Hg: relaxed, GGA-PBE.

Output
The total energy comes out at -13.43 eV/cell. As for the space group: R-3m, No. 166.

Cell: 2.980 2.980 10.019 Å, 81.45 81.45 60.00°
Fractional positions:
Hg 0.500 0.500 0.500
Ag 0.745 0.745 0.764
Ag 0.255 0.255 0.236
Ti 0.000 0.000 0.000